[1]
Entry from Alexandria via LeMat-Bulk: a relaxed structure of AcRuO6 (GGA-PBE).

For the formation energy (no corrections), the calculation gives -1.249 eV per atom. The value obtained for the calculated total energy is -6.64 eV/atom. The calculation puts the density of states at the Fermi level at 0.48 states/eV/atom. For the volume, the calculation gives 12.99 A^3/atom.

```
AcRuO6
1.0
-0.3917 4.3872 1.3617
-3.7839 -1.5899 2.1001
1.9646 -0.5472 4.5964
O Ru Ac
6 1 1
Cartesian
-1.2856 1.5445 6.5970
-0.0648 3.1849 5.2927
-2.1818 -0.5453 5.7534
-2.1462 -0.9347 2.7655
-0.9254 0.7057 1.4612
-0.0292 2.7955 2.3048
0.0000 0.0000 0.0000
-1.1055 1.1251 4.0291
```

[2]
Entry from Alexandria via LeMat-Bulk: a relaxed structure of CrPt3N (GGA-PBE).

For the formation energy (no corrections), the calculation gives 2.019 eV per atom. The value obtained for the calculated total energy is -5.20 eV/atom. The calculation puts the density of states at the Fermi level at 0.85 states/eV/atom. For the volume, the calculation gives 19.42 A^3/atom. For the offset from the most stable computed form, the calculation gives 1.514 eV/atom.

```
CrPt3N
1.0
-3.5918 -0.9452 -2.7073
2.7676 -2.2784 -2.8763
-0.7506 -3.8781 2.3497
N Cr Pt
1 1 3
Cartesian
-0.7874 -3.5508 -1.6169
0.0000 0.0000 0.0000
-0.3753 -1.9390 1.1749
1.3838 -1.1392 -1.4381
-1.7959 -0.4726 -1.3537
```

[3]
Entry from Alexandria via LeMat-Bulk: a relaxed structure of MgMnBr (GGA-PBE).

For the formation energy (no corrections), the calculation gives 0.053 eV per atom. The value obtained for the calculated total energy is -4.09 eV/atom. The calculation puts the density of states at the Fermi level at 0.56 states/eV/atom. For the volume, the calculation gives 21.72 A^3/atom. For the offset from the most stable computed form, the calculation gives 0.097 eV/atom.

```
MgMnBr
1.0
6.8491 -0.0032 0.0024
5.7171 3.1549 -0.0016
1.1320 -0.9431 3.0140
Mg Mn Br
1 1 1
Cartesian
4.8850 0.4009 2.0249
8.7635 1.7899 1.0029
1.1817 -0.9253 3.0008
```

[4]
Entry from Alexandria via LeMat-Bulk: a relaxed structure of TbCe3Pr2Bi6 (GGA-PBE).

The calculation puts the formation energy from the elements at -0.863 eV per atom. The value obtained for the calculated total energy is -5.47 eV/atom. The calculation puts the density of states at the Fermi level at 1.68 states/eV/atom. For the volume, the calculation gives 34.36 A^3/atom.

```
TbCe3Pr2Bi6
1.0
-1.9665 1.5404 7.5606
-5.6094 -2.2055 -5.2032
3.7130 -6.9775 0.9880
Bi Pr Ce Tb
6 2 3 1
Cartesian
-4.7936 -2.2673 2.0335
0.9307 -5.3753 1.3119
-2.3216 -5.1184 4.6102
-0.3458 -1.2949 2.9242
-3.5171 -6.3478 0.4213
-1.5413 -2.5243 -1.2647
-4.3920 -0.9538 -0.9380
-3.1838 0.2886 3.2954
-1.9314 -3.8213 1.6727
-0.7253 -2.5810 5.8990
-3.1376 -5.0616 -2.5535
0.0000 0.0000 0.0000
```

[5]
Entry from Alexandria via LeMat-Bulk: a relaxed structure of SbPtSe2N (GGA-PBE).

For the formation energy (no corrections), the calculation gives 0.443 eV per atom. The value obtained for the calculated total energy is -4.65 eV/atom. The calculation puts the density of states at the Fermi level at 0.56 states/eV/atom. For the volume, the calculation gives 20.54 A^3/atom. For the offset from the most stable computed form, the calculation gives 0.000 eV/atom.

```
SbPtSe2N
1.0
5.2585 0.0000 0.0000
0.0000 5.2585 0.0000
0.0000 0.0000 3.7141
N Pt Se Sb
1 1 2 1
Cartesian
0.0000 0.0000 1.8571
0.0000 0.0000 0.0000
2.6292 0.0000 0.0000
0.0000 2.6292 0.0000
2.6292 2.6292 1.8571
```

[6]
Entry from Alexandria via LeMat-Bulk: a relaxed structure of Pa2AsC (GGA-PBE).

The calculation puts the formation energy from the elements at -0.472 eV per atom. The value obtained for the calculated total energy is -8.69 eV/atom. The calculation puts the density of states at the Fermi level at 1.49 states/eV/atom. For the volume, the calculation gives 20.76 A^3/atom. For the offset from the most stable computed form, the calculation gives 0.264 eV/atom.

```
Pa2AsC
1.0
4.3641 0.0000 -0.0026
0.0000 4.3640 -0.0026
0.0047 0.0047 8.7190
Pa As C
4 2 2
Cartesian
3.2775 3.2775 7.4994
1.0913 1.0912 1.2145
3.2752 1.0935 4.3569
1.0936 3.2752 4.3569
3.2734 3.2734 1.7971
1.0953 1.0953 6.9168
1.0925 1.0924 3.4234
3.2763 3.2763 5.2905
```

[7]
Entry from Alexandria via LeMat-Bulk: a relaxed structure of ErReN3 (GGA-PBE).

For the formation energy (no corrections), the calculation gives -0.687 eV per atom. The value obtained for the calculated total energy is -9.08 eV/atom. The calculation puts the density of states at the Fermi level at 0.43 states/eV/atom. For the volume, the calculation gives 15.51 A^3/atom.

```
ErReN3
1.0
-6.1820 0.0878 1.1596
-1.5027 -5.5202 4.6676
-1.0957 3.9862 6.1177
Er N Re
4 12 4
Cartesian
-2.9323 -2.7914 5.3704
-2.6795 3.1142 6.2713
-5.8481 1.3452 6.5746
-6.1009 -4.5604 5.6737
-1.8745 1.7952 4.6370
-6.4458 -2.3045 10.1936
-6.9060 -3.2414 7.3080
-3.2692 -0.3476 9.9190
-5.5113 -1.0986 2.0260
-5.1678 -2.8869 4.4959
-2.2858 -1.1865 7.1076
-3.6126 1.4407 7.4490
-5.3601 -0.7521 7.7469
-6.4946 -0.2597 4.8374
-3.4203 -0.6941 4.1980
-2.3346 0.8583 1.7513
-2.0372 0.3851 3.5127
-5.1979 -1.1976 3.8444
-3.5825 -0.2486 8.1006
-6.7432 -1.8313 8.4322
```

[8]
Entry from Alexandria via LeMat-Bulk: a relaxed structure of SrLa2Rh2 (GGA-PBE).

The calculation puts the formation energy from the elements at -0.397 eV per atom. The value obtained for the calculated total energy is -5.64 eV/atom. The calculation puts the density of states at the Fermi level at 0.31 states/eV/atom. For the volume, the calculation gives 25.36 A^3/atom. For the offset from the most stable computed form, the calculation gives 0.179 eV/atom.

```
SrLa2Rh2
1.0
8.5859 0.0000 0.0000
0.0000 8.5859 0.0000
0.0000 0.0000 3.4403
La Rh Sr
4 4 2
Cartesian
7.3918 5.4870 0.0000
5.4870 1.1941 0.0000
3.0989 7.3918 0.0000
1.1941 3.0989 0.0000
2.9025 1.3905 1.7202
1.3905 5.6834 1.7202
7.1954 2.9025 1.7202
5.6834 7.1954 1.7202
4.2929 4.2929 0.0000
0.0000 0.0000 0.0000
```

[9]
Entry from Alexandria via LeMat-Bulk: a relaxed structure of NiBi2W (GGA-PBE).

The calculation puts the formation energy from the elements at 1.208 eV per atom. The value obtained for the calculated total energy is -5.42 eV/atom. The calculation puts the density of states at the Fermi level at 1.06 states/eV/atom. For the volume, the calculation gives 28.87 A^3/atom. For the offset from the most stable computed form, the calculation gives 0.317 eV/atom.

```
NiBi2W
1.0
6.2339 0.0000 0.0000
0.0000 6.2339 0.0000
3.1170 3.1170 5.9427
Bi W Ni
4 2 2
Cartesian
1.6920 4.6755 1.4857
4.6755 4.8090 4.4570
4.5420 1.5585 1.4857
7.7924 7.6589 4.4570
0.0000 0.0000 0.0000
6.2339 3.1170 2.9714
3.1170 3.1170 0.0000
3.1170 6.2339 2.9714
```

[10]
Entry from Alexandria via LeMat-Bulk: a relaxed structure of MoAs2Cl (GGA-PBE).

For the formation energy (no corrections), the calculation gives -0.026 eV per atom. The value obtained for the calculated total energy is -5.52 eV/atom. The calculation puts the density of states at the Fermi level at 0.78 states/eV/atom. For the volume, the calculation gives 18.65 A^3/atom. For the offset from the most stable computed form, the calculation gives 0.115 eV/atom.

```
MoAs2Cl
1.0
3.2431 0.0000 0.0000
0.0000 3.2433 0.0000
0.0000 0.0000 7.0939
Cl As Mo
1 2 1
Cartesian
1.6215 1.6217 1.7735
0.0000 0.0000 3.9202
0.0000 0.0000 6.7206
1.6215 1.6217 5.3204
```

[11]
Entry from Alexandria via LeMat-Bulk: a relaxed structure of MnZn3Pt (GGA-PBE).

The calculation puts the formation energy from the elements at 0.347 eV per atom. The value obtained for the calculated total energy is -3.46 eV/atom. The calculation puts the density of states at the Fermi level at 0.46 states/eV/atom. For the volume, the calculation gives 22.03 A^3/atom. For the offset from the most stable computed form, the calculation gives 0.508 eV/atom.

```
MnZn3Pt
1.0
-2.3742 2.9579 2.9313
-3.5653 -3.1873 0.3285
2.1518 -2.0176 3.7786
Zn Mn Pt
3 1 1
Cartesian
1.0759 -1.0088 1.8893
-1.1871 1.4789 1.4657
-1.7827 -1.5937 0.1642
-1.8939 -1.1235 3.5192
0.0000 0.0000 0.0000
```

[12]
Entry from Alexandria via LeMat-Bulk: a relaxed structure of NaCe2In8 (GGA-PBE).

The calculation puts the formation energy from the elements at -0.236 eV per atom. The value obtained for the calculated total energy is -3.43 eV/atom. The calculation puts the density of states at the Fermi level at 1.28 states/eV/atom. For the volume, the calculation gives 27.08 A^3/atom.

```
NaCe2In8
1.0
-1.9448 -3.0257 -3.1584
-2.4919 -2.0742 3.5214
-9.7626 8.3516 -1.9893
Ce In Na
2 8 1
Cartesian
-6.6166 5.6603 -1.3482
-3.1459 2.6913 -0.6410
-8.8452 3.1192 -1.1688
-2.6679 0.1793 1.4710
-9.3130 5.6223 -3.2787
-9.5866 6.0981 0.0612
-5.8537 2.6630 -2.5738
-5.3541 0.1326 -0.4574
-6.1272 3.1387 0.7661
-2.3943 -0.2964 -1.8689
0.0000 0.0000 0.0000
```